Entry 1:
A relaxed Tb3CdTc crystal. Source: the Alexandria database, functional PBE.

Cell and atoms, written as POSCAR:
```
Tb3CdTc
1.0
0.0000 4.9155 8.0074
3.2924 0.0000 8.0074
3.2924 4.9155 0.0000
Tb Cd Tc
6 2 2
Direct
0.1996 0.1996 0.8004
0.2001 0.5798 0.4202
0.4202 0.7999 0.2001
0.5798 0.2001 0.7999
0.7999 0.4202 0.5798
0.8004 0.8004 0.1996
0.2071 0.7929 0.7929
0.7929 0.2071 0.2071
0.2500 0.2500 0.2500
0.7500 0.7500 0.7500
```

Values from the calculation:
Volume   25.919 A^3/atom
DOS at the Fermi energy   9.296 states/eV per cell
Formation energy   -0.165 eV per atom

=====

Entry 2:
A relaxed Tb6CdTc2 crystal. Source: the Alexandria database, functional PBE.

Cell and atoms, written as POSCAR:
```
Tb6CdTc2
1.0
-4.8026 4.8269 5.1801
4.8026 -4.8269 5.1801
4.8026 4.8269 -5.1801
Tb Cd Tc
12 2 4
Direct
0.0195 0.2323 0.7872
0.1899 0.2842 0.4741
0.1899 0.7158 0.9057
0.3152 0.0224 0.7073
0.3152 0.6079 0.2927
0.4450 0.2323 0.2128
0.5550 0.7677 0.7872
0.6848 0.3921 0.7073
0.6848 0.9776 0.2927
0.8101 0.2842 0.0943
0.8101 0.7158 0.5259
0.9805 0.7677 0.2128
0.0000 0.0000 0.0000
0.5000 0.5000 0.0000
0.1155 0.6155 0.5000
0.3729 0.0000 0.3729
0.6271 0.0000 0.6271
0.8845 0.3845 0.5000
```

Values from the calculation:
Volume   26.685 A^3/atom
DOS at the Fermi energy   18.649 states/eV per cell
Formation energy   -0.120 eV per atom

=====

Entry 3:
A relaxed Tb4CdTc crystal. Source: the Alexandria database, functional PBE.

Cell and atoms, written as POSCAR:
```
Tb4CdTc
1.0
4.3371 -6.4087 0.0000
4.3371 6.4087 0.0000
-1.7989 0.0000 6.0237
Tb Cd Tc
8 2 2
Direct
0.0637 0.7250 0.9550
0.1996 0.3619 0.6045
0.2750 0.9363 0.5450
0.3619 0.1996 0.1045
0.6381 0.8004 0.8955
0.7250 0.0637 0.4550
0.8004 0.6381 0.3955
0.9363 0.2750 0.0450
0.3746 0.6254 0.2500
0.6254 0.3746 0.7500
0.0011 0.9989 0.7500
0.9989 0.0011 0.2500
```

Values from the calculation:
Volume   27.905 A^3/atom
DOS at the Fermi energy   11.042 states/eV per cell
Formation energy   -0.178 eV per atom

=====

Entry 4:
A relaxed Tb5Cd2Tc2 crystal. Source: the Alexandria database, functional PBE.

Cell and atoms, written as POSCAR:
```
Tb5Cd2Tc2
1.0
8.5531 -3.6620 0.0000
8.5531 3.6620 0.0000
0.0000 0.0000 7.4937
Tb Cd Tc
10 4 4
Direct
0.0000 0.0000 0.0000
0.0594 0.6946 0.6829
0.1946 0.5594 0.1829
0.3054 0.9406 0.6829
0.4406 0.8054 0.1829
0.5000 0.5000 0.5000
0.5594 0.1946 0.8171
0.6946 0.0594 0.3171
0.8054 0.4406 0.8171
0.9406 0.3054 0.3171
0.2263 0.2263 0.0000
0.2737 0.2737 0.5000
0.7263 0.7263 0.5000
0.7737 0.7737 0.0000
0.1071 0.8929 0.3808
0.3929 0.6071 0.8808
0.6071 0.3929 0.1192
0.8929 0.1071 0.6192
```

Values from the calculation:
Volume   26.080 A^3/atom
DOS at the Fermi energy   20.203 states/eV per cell
Formation energy   -0.131 eV per atom

=====

Entry 5:
A relaxed Tb3CdTe6 crystal. Source: the Alexandria database, functional PBE.

Cell and atoms, written as POSCAR:
```
Tb3CdTe6
1.0
6.0889 -7.2002 0.0000
6.0889 7.2002 0.0000
0.0000 0.0000 7.5472
Tb Cd Te
6 2 12
Direct
0.0959 0.9041 0.5000
0.2271 0.4189 0.6042
0.4189 0.2271 0.1042
0.5811 0.7729 0.6042
0.7729 0.5811 0.1042
0.9041 0.0959 0.0000
0.2845 0.7155 0.1301
0.7155 0.2845 0.6301
0.0426 0.5935 0.3408
0.1241 0.2051 0.3003
0.2051 0.1241 0.8003
0.2714 0.7286 0.7594
0.4065 0.9574 0.3408
0.4644 0.5356 0.3040
0.5356 0.4644 0.8040
0.5935 0.0426 0.8408
0.7286 0.2714 0.2594
0.7949 0.8759 0.3003
0.8759 0.7949 0.8003
0.9574 0.4065 0.8408
```

Values from the calculation:
Volume   33.088 A^3/atom
DOS at the Fermi energy   8.778 states/eV per cell
Formation energy without anion corrections   -1.07 eV per atom

=====

Entry 6:
A relaxed Tb6CdTe5 crystal. Source: the Alexandria database, functional PBE.

Cell and atoms, written as POSCAR:
```
Tb6CdTe5
1.0
3.8027 -6.5621 0.0000
3.8027 6.5621 0.0000
-2.5238 0.0000 7.1296
Tb Cd Te
6 1 5
Direct
0.0796 0.4040 0.7417
0.2402 0.2402 0.2535
0.4040 0.0796 0.7417
0.5960 0.9204 0.2583
0.7598 0.7598 0.7465
0.9204 0.5960 0.2583
0.0000 0.0000 0.5000
0.1723 0.8277 0.0000
0.3352 0.6648 0.5000
0.5000 0.5000 0.0000
0.6648 0.3352 0.5000
0.8277 0.1723 0.0000
```

Values from the calculation:
Volume   29.651 A^3/atom
DOS at the Fermi energy   4.471 states/eV per cell
Formation energy without anion corrections   -1.15 eV per atom

=====

Entry 7:
A relaxed Tb5CdTe4 crystal. Source: the Alexandria database, functional PBE.

Cell and atoms, written as POSCAR:
```
Tb5CdTe4
1.0
-4.8889 4.8889 3.0935
4.8889 -4.8889 3.0935
4.8889 4.8889 -3.0935
Tb Cd Te
5 1 4
Direct
0.0000 0.0000 0.0000
0.2068 0.4006 0.6075
0.4006 0.7932 0.1938
0.5994 0.2068 0.8062
0.7932 0.5994 0.3925
0.5000 0.5000 0.0000
0.0959 0.6970 0.7929
0.3030 0.0959 0.3989
0.6970 0.9041 0.6011
0.9041 0.3030 0.2071
```

Values from the calculation:
Volume   29.575 A^3/atom
DOS at the Fermi energy   3.416 states/eV per cell
Formation energy without anion corrections   -1.11 eV per atom

=====

Entry 8:
A relaxed Tb4CdTe crystal. Source: the Alexandria database, functional PBE.

Cell and atoms, written as POSCAR:
```
Tb4CdTe
1.0
5.9766 0.0000 0.0000
0.0000 8.4595 0.0000
-2.2763 0.0000 7.6974
Tb Cd Te
8 2 2
Direct
0.0027 0.0527 0.2535
0.0027 0.4473 0.2535
0.3877 0.7500 0.5224
0.4302 0.2500 0.0102
0.5698 0.7500 0.9898
0.6123 0.2500 0.4776
0.9973 0.5527 0.7465
0.9973 0.9473 0.7465
0.1794 0.2500 0.5956
0.8206 0.7500 0.4044
0.1154 0.7500 0.0858
0.8846 0.2500 0.9142
```

Values from the calculation:
Volume   32.431 A^3/atom
DOS at the Fermi energy   12.748 states/eV per cell
Formation energy without anion corrections   -0.27 eV per atom

=====

Entry 9:
A relaxed Tb3CdTe2 crystal. Source: the Alexandria database, functional PBE.

Cell and atoms, written as POSCAR:
```
Tb3CdTe2
1.0
0.0000 6.1807 12.9094
4.4317 0.0000 12.9094
4.4317 6.1807 0.0000
Tb Cd Te
12 4 8
Direct
0.0422 0.5412 0.2066
0.1233 0.6267 0.6267
0.2066 0.7100 0.0422
0.2900 0.7934 0.4588
0.3733 0.8767 0.8767
0.4588 0.9578 0.2900
0.5412 0.0422 0.7100
0.6267 0.1233 0.1233
0.7100 0.2066 0.5412
0.7934 0.2900 0.9578
0.8767 0.3733 0.3733
0.9578 0.4588 0.7934
0.0415 0.0415 0.2085
0.2085 0.2085 0.0415
0.7915 0.7915 0.9585
0.9585 0.9585 0.7915
0.1262 0.1262 0.6238
0.2929 0.2929 0.4571
0.3762 0.3762 0.8738
0.4571 0.4571 0.2929
0.5429 0.5429 0.7071
0.6238 0.6238 0.1262
0.7071 0.7071 0.5429
0.8738 0.8738 0.3762
```

Values from the calculation:
Volume   29.467 A^3/atom
DOS at the Fermi energy   15.855 states/eV per cell
Formation energy without anion corrections   -0.94 eV per atom

=====

Entry 10:
A relaxed Tb3CdTe crystal. Source: the Alexandria database, functional PBE.

Cell and atoms, written as POSCAR:
```
Tb3CdTe
1.0
4.0400 0.0000 0.0000
0.0000 6.8939 5.9094
0.0000 -6.8939 5.9094
Tb Cd Te
6 2 2
Direct
0.0000 0.1206 0.8794
0.0000 0.5741 0.8516
0.0000 0.8516 0.5741
0.0000 0.8794 0.1206
0.5000 0.2510 0.6056
0.5000 0.6056 0.2510
0.0000 0.4904 0.4904
0.5000 0.8504 0.8504
0.5000 0.3668 0.9654
0.5000 0.9654 0.3668
```

Values from the calculation:
Volume   32.917 A^3/atom
DOS at the Fermi energy   7.690 states/eV per cell
Formation energy without anion corrections   -0.45 eV per atom

=====

Entry 11:
A relaxed Tb5CdTe2 crystal. Source: the Alexandria database, functional PBE.

Cell and atoms, written as POSCAR:
```
Tb5CdTe2
1.0
2.9917 -6.3341 0.0000
2.9917 6.3341 0.0000
0.0000 0.0000 13.2997
Tb Cd Te
10 2 4
Direct
0.0542 0.9458 0.6130
0.0542 0.9458 0.8870
0.3810 0.6190 0.2500
0.3814 0.6186 0.5522
0.3814 0.6186 0.9478
0.6186 0.3814 0.0522
0.6186 0.3814 0.4478
0.6190 0.3810 0.7500
0.9458 0.0542 0.1130
0.9458 0.0542 0.3870
0.2604 0.7396 0.7500
0.7396 0.2604 0.2500
0.1871 0.8129 0.0925
0.1871 0.8129 0.4075
0.8129 0.1871 0.5925
0.8129 0.1871 0.9075
```

Values from the calculation:
Volume   31.503 A^3/atom
DOS at the Fermi energy   19.812 states/eV per cell
Formation energy without anion corrections   -0.49 eV per atom

=====

Entry 12:
A relaxed TbCdTe crystal. Source: the Alexandria database, functional PBE.

Cell and atoms, written as POSCAR:
```
TbCdTe
1.0
2.4201 1.3973 9.7320
-2.4201 1.3973 9.7320
0.0000 -2.7945 9.7320
Tb Cd Te
2 2 2
Direct
0.0649 0.0649 0.0649
0.9351 0.9351 0.9351
0.3296 0.3296 0.3296
0.6704 0.6704 0.6704
0.2238 0.2238 0.2238
0.7762 0.7762 0.7762
```

Values from the calculation:
Volume   32.909 A^3/atom
DOS at the Fermi energy   1.587 states/eV per cell
Formation energy without anion corrections   -0.79 eV per atom

=====

Entry 13:
A relaxed Tb2Tl3CdTe6 crystal. Source: the Alexandria database, functional PBE.

Cell and atoms, written as POSCAR:
```
Tb2Tl3CdTe6
1.0
3.8619 -6.7107 0.0000
3.8619 6.7107 0.0000
-2.5823 0.0000 7.9202
Tb Tl Cd Te
2 3 1 6
Direct
0.1659 0.8341 0.0000
0.8341 0.1659 0.0000
0.0000 0.0000 0.5000
0.3292 0.6708 0.5000
0.6708 0.3292 0.5000
0.5000 0.5000 0.0000
0.0957 0.4285 0.7831
0.2410 0.2410 0.2190
0.4285 0.0957 0.7831
0.5715 0.9043 0.2169
0.7590 0.7590 0.7810
0.9043 0.5715 0.2169
```

Values from the calculation:
Volume   34.210 A^3/atom
DOS at the Fermi energy   6.504 states/eV per cell
Formation energy without anion corrections   -0.76 eV per atom

=====

Entry 14:
A relaxed Tb3Tl3CdTe8 crystal. Source: the Alexandria database, functional PBE.

Cell and atoms, written as POSCAR:
```
Tb3Tl3CdTe8
1.0
7.5979 -4.3874 0.0000
7.5979 4.3874 0.0000
-5.0634 0.0000 8.1843
Tb Tl Cd Te
3 3 1 8
Direct
0.0000 0.0000 0.0000
0.0000 0.5000 0.0000
0.5000 0.0000 0.0000
0.0000 0.5000 0.5000
0.5000 0.0000 0.5000
0.5000 0.5000 0.5000
0.5000 0.5000 0.0000
0.2376 0.7388 0.2149
0.2395 0.2395 0.2183
0.2612 0.7624 0.7851
0.2622 0.2622 0.7859
0.7378 0.7378 0.2141
0.7388 0.2376 0.2149
0.7605 0.7605 0.7817
0.7624 0.2612 0.7851
```

Values from the calculation:
Volume   36.377 A^3/atom
DOS at the Fermi energy   11.549 states/eV per cell
Formation energy without anion corrections   -0.80 eV per atom

=====

Entry 15:
A relaxed Tb5ThCd6 crystal. Source: the Alexandria database, functional PBE.

Cell and atoms, written as POSCAR:
```
Tb5ThCd6
1.0
-2.6490 3.8236 7.9495
2.6490 -3.8236 7.9495
2.6490 3.8236 -7.9495
Tb Th Cd
5 1 6
Direct
0.0000 0.0000 0.0000
0.1689 0.6689 0.5000
0.3383 0.3383 0.0000
0.6617 0.6617 0.0000
0.8311 0.3311 0.5000
0.5000 0.0000 0.5000
0.0722 0.8303 0.2420
0.2351 0.5000 0.7351
0.4117 0.1697 0.2420
0.5883 0.8303 0.7580
0.7649 0.5000 0.2649
0.9278 0.1697 0.7580
```

Values from the calculation:
Volume   26.839 A^3/atom
DOS at the Fermi energy   15.872 states/eV per cell
Formation energy   -0.268 eV per atom

=====

Entry 16:
A relaxed TbTh2Cd crystal. Source: the Alexandria database, functional PBE.

Cell and atoms, written as POSCAR:
```
TbTh2Cd
1.0
1.7238 0.9952 12.5615
-1.7238 0.9952 12.5615
0.0000 -1.9905 12.5615
Tb Th Cd
1 2 1
Direct
0.0000 0.0000 0.0000
0.4118 0.4118 0.4118
0.5882 0.5882 0.5882
0.5000 0.5000 0.5000
```

Values from the calculation:
Volume   32.326 A^3/atom
DOS at the Fermi energy   5.096 states/eV per cell
Formation energy   0.249 eV per atom
E above lowest polymorph   0.273 eV per atom

=====

Entry 17:
A relaxed TbThCd crystal. Source: the Alexandria database, functional PBE.

Cell and atoms, written as POSCAR:
```
TbThCd
1.0
-1.7975 1.7975 6.8158
1.7975 -1.7975 6.8158
1.7975 1.7975 -6.8158
Tb Th Cd
1 1 1
Direct
0.0000 0.0000 0.0000
0.6831 0.6831 0.0000
0.3515 0.3515 0.0000
```

Values from the calculation:
Volume   29.364 A^3/atom
DOS at the Fermi energy   2.551 states/eV per cell
Formation energy   -0.117 eV per atom
E above lowest polymorph   0.000 eV per atom

=====

Entry 18:
A relaxed TbThCd14 crystal. Source: the Alexandria database, functional PBE.

Cell and atoms, written as POSCAR:
```
TbThCd14
1.0
6.6788 0.0000 0.0000
0.0000 6.6788 0.0000
0.0000 0.0000 8.4932
Tb Th Cd
1 1 14
Direct
0.0000 0.0000 0.0000
0.5000 0.5000 0.0000
0.0000 0.0000 0.5000
0.0000 0.5000 0.0000
0.0000 0.5000 0.5000
0.2460 0.2460 0.2623
0.2460 0.2460 0.7377
0.2460 0.7540 0.2623
0.2460 0.7540 0.7377
0.5000 0.0000 0.0000
0.5000 0.0000 0.5000
0.5000 0.5000 0.5000
0.7540 0.2460 0.2623
0.7540 0.2460 0.7377
0.7540 0.7540 0.2623
0.7540 0.7540 0.7377
```

Values from the calculation:
Volume   23.678 A^3/atom
DOS at the Fermi energy   8.237 states/eV per cell
Formation energy   -0.095 eV per atom

=====

Entry 19:
A relaxed Tb4ThCd3 crystal. Source: the Alexandria database, functional PBE.

Cell and atoms, written as POSCAR:
```
Tb4ThCd3
1.0
3.6802 0.0000 0.0000
0.0000 3.6802 0.0000
0.0000 0.0000 16.4227
Tb Th Cd
4 1 3
Direct
0.0000 0.0000 0.1162
0.0000 0.0000 0.3572
0.0000 0.0000 0.6428
0.0000 0.0000 0.8838
0.5000 0.5000 0.5000
0.5000 0.5000 0.0000
0.5000 0.5000 0.2358
0.5000 0.5000 0.7642
```

Values from the calculation:
Volume   27.804 A^3/atom
DOS at the Fermi energy   8.577 states/eV per cell
Formation energy   -0.239 eV per atom

=====

Entry 20:
A relaxed Tb2ThCd3 crystal. Source: the Alexandria database, functional PBE.

Cell and atoms, written as POSCAR:
```
Tb2ThCd3
1.0
3.6027 0.0000 0.0000
0.0000 3.6027 0.0000
0.0000 0.0000 12.4521
Tb Th Cd
2 1 3
Direct
0.0000 0.0000 0.1608
0.0000 0.0000 0.8392
0.0000 0.0000 0.5000
0.5000 0.5000 0.0000
0.5000 0.5000 0.3195
0.5000 0.5000 0.6805
```

Values from the calculation:
Volume   26.936 A^3/atom
DOS at the Fermi energy   6.176 states/eV per cell
Formation energy   -0.233 eV per atom